(1)
The following is a PBE-GGA calculation of a geometry-optimized Pm7Ho2Tm4 structure, from Alexandria.

The space group is P-31m (No. 162) and the conventional cell measures 6.1431, 6.1431 and 13.0902 Å, with angles of 90.00, 90.00 and 120.00 degrees. The inequivalent atoms are Pm at (0.0000, 0.0000, 0.0000), Pm at (0.0000, 0.3729, 0.2232), Ho at (0.3333, 0.6667, 0.0000), Tm at (0.0000, 0.0000, 0.3922) and Tm at (0.3333, 0.6667, 0.5000).

The calculation puts the energy of formation from the pure elements at 176 meV/atom. The crystal system is trigonal.

(2)
The following is a PBE-GGA calculation of a geometry-optimized AcPm2Pd9 structure, from Alexandria.

The space group is P4/mmm (No. 123) and the conventional cell measures 4.237, 4.237 and 12.653 Å, with angles of 90.00, 90.00 and 90.00 degrees. The inequivalent atoms are Ac at (0.000, 0.000, 0.000), Pm at (0.000, 0.000, 0.337), Pd at (0.000, 0.500, 0.173), Pd at (0.000, 0.500, 0.500), Pd at (0.500, 0.500, 0.000) and Pd at (0.500, 0.500, 0.337).

The calculation puts the energy of formation from the pure elements at -762 meV/atom. The crystal system is tetragonal.

(3)
The following is a PBE-GGA calculation of a geometry-optimized TlSbIr2 structure, from Alexandria.

The space group is P4/mmm (No. 123) and the conventional cell measures 3.164, 3.164 and 7.438 Å, with angles of 90.00, 90.00 and 90.00 degrees. The inequivalent atoms are Tl at (0.000, 0.000, 0.000), Sb at (0.000, 0.000, 0.500) and Ir at (0.500, 0.500, 0.277).

The relative energy among the computed polymorphs is 76 meV/atom. The calculation puts the formation energy (no corrections) at 0.3920 eV per atom. The crystal system is tetragonal.

(4)
The following is a PBE-GGA calculation of a geometry-optimized PmAgB structure, from Alexandria.

The space group is P-1 (No. 2) and the conventional cell measures 3.203, 3.755 and 9.417 Å, with angles of 101.46, 90.05 and 90.01 degrees. The inequivalent atoms are Pm at (0.249, 0.407, 0.314), Ag at (0.251, 0.211, 0.921) and B at (0.250, 0.012, 0.525).

The calculation puts the energy of formation from the pure elements at -325 meV/atom. The crystal system is triclinic.

What did the first record say?
The following is a PBE-GGA calculation of a geometry-optimized Pm7Ho2Tm4 structure, from Alexandria.

The space group is P-31m (No. 162) and the conventional cell measures 6.1431, 6.1431 and 13.0902 Å, with angles of 90.00, 90.00 and 120.00 degrees. The inequivalent atoms are Pm at (0.0000, 0.0000, 0.0000), Pm at (0.0000, 0.3729, 0.2232), Ho at (0.3333, 0.6667, 0.0000), Tm at (0.0000, 0.0000, 0.3922) and Tm at (0.3333, 0.6667, 0.5000).

The calculation puts the energy of formation from the pure elements at 176 meV/atom. The crystal system is trigonal.